{
  "formula": "MgSc2Cl",
  "functional": "meta-GGA SCAN",
  "state": "PBEsol geometry",
  "relative_energy_ev_per_atom": 0.078,
  "dft_energy_ev_per_atom": -10.976,
  "dos_ef_per_ev_fu": 3.5,
  "e_form_raw_ev_per_atom": -0.62,
  "cell": [[3.200, 0.000, 0.000], [0.000, 3.200, 0.000], [0.000, 0.000, 9.193]],
  "species": ["Mg", "Sc", "Sc", "Cl"],
  "fractional_positions": [[0.500, 0.500, 0.778], [0.000, 0.000, 0.020], [0.500, 0.500, 0.269], [0.000, 0.000, 0.433]]
}